[1]
Entry from Alexandria via LeMat-Bulk: NaPmMgAg after structural relaxation (PBE).

Lattice parameters (Å, degrees): 5.1769 5.1769 5.1769 60.00 60.00 60.00
Element x y z (fractional)
Na (0.5000, 0.5000, 0.5000)
Mg (0.2500, 0.2500, 0.2500)
Ag (0.0000, 0.0000, 0.0000)
Pm (0.7500, 0.7500, 0.7500)

Properties
- magnetization (μB/f.u.) = 0.01
- space-group type = F-43m
- calculated formation energy (eV/atom) = -0.02
- raw total energy (eV per atom) = -2.645

=====

[2]
Entry from Alexandria via LeMat-Bulk: NaPrMgAg after structural relaxation (PBE).

Lattice parameters (Å, degrees): 5.2242 5.2242 5.2242 60.00 60.00 60.00
Element x y z (fractional)
Pr (0.0000, 0.0000, 0.0000)
Na (0.7500, 0.7500, 0.7500)
Mg (0.5000, 0.5000, 0.5000)
Ag (0.2500, 0.2500, 0.2500)

Properties
- magnetization (μB/f.u.) = 0.01
- space-group type = F-43m
- calculated formation energy (eV/atom) = -0.03
- raw total energy (eV per atom) = -2.664

=====

[3]
Entry from Alexandria via LeMat-Bulk: NaMgAgS2 after structural relaxation (PBE).

Lattice parameters (Å, degrees): 5.9843 6.7293 6.4777 97.79 90.00 90.00
Element x y z (fractional)
Na (0.3592, 0.5000, 0.7500)
Na (0.6408, 0.5000, 0.2500)
Mg (0.4935, 0.0000, 0.2500)
Mg (0.5065, 0.0000, 0.7500)
Ag (0.0000, 0.0000, 0.0000)
Ag (0.0000, 0.0000, 0.5000)
S (0.6897, 0.7747, 0.9724)
S (0.6897, 0.2253, 0.5276)
S (0.3103, 0.7747, 0.4724)
S (0.3103, 0.2253, 0.0276)

Properties
- magnetization (μB/f.u.) = 0.00
- space-group type = P2/c
- raw total energy (eV per atom) = -3.696

=====

[4]
Entry from Alexandria via LeMat-Bulk: NaMgSiAg after structural relaxation (PBE).

Lattice parameters (Å, degrees): 4.7117 4.7117 4.7117 60.00 60.00 60.00
Element x y z (fractional)
Na (0.7500, 0.7500, 0.7500)
Si (0.2500, 0.2500, 0.2500)
Mg (0.0000, 0.0000, 0.0000)
Ag (0.5000, 0.5000, 0.5000)

Properties
- magnetization (μB/f.u.) = 0.00
- space-group type = F-43m
- raw total energy (eV per atom) = -2.732

=====

[5]
Entry from Alexandria via LeMat-Bulk: NaSmMgAg after structural relaxation (PBE).

Lattice parameters (Å, degrees): 5.1609 5.1609 5.1609 60.00 60.00 60.00
Element x y z (fractional)
Na (0.5000, 0.5000, 0.5000)
Mg (0.2500, 0.2500, 0.2500)
Ag (0.0000, 0.0000, 0.0000)
Sm (0.7500, 0.7500, 0.7500)

Properties
- magnetization (μB/f.u.) = 0.01
- space-group type = F-43m
- calculated formation energy (eV/atom) = -0.01
- raw total energy (eV per atom) = -2.631

=====

[6]
Entry from Alexandria via LeMat-Bulk: NaMg2Ag2Sn2 after structural relaxation (PBE).

Lattice parameters (Å, degrees): 4.7255 4.7255 9.2536 75.21 75.21 60.00
Element x y z (fractional)
Na (0.0000, 0.0000, 0.0000)
Mg (0.1374, 0.1374, 0.5877)
Mg (0.8626, 0.8626, 0.4123)
Ag (0.5595, 0.5595, 0.3216)
Ag (0.4405, 0.4405, 0.6784)
Sn (0.7440, 0.7440, 0.7680)
Sn (0.2560, 0.2560, 0.2320)

Properties
- magnetization (μB/f.u.) = 0.00
- space-group type = R-3m
- calculated formation energy (eV/atom) = -0.16
- raw total energy (eV per atom) = -2.762

=====

[7]
Entry from Alexandria via LeMat-Bulk: NaMgV2Ag after structural relaxation (PBE).

Lattice parameters (Å, degrees): 5.1162 5.1075 5.1162 90.00 90.00 90.00
Element x y z (fractional)
Na (0.5000, 0.5000, 0.5000)
Mg (0.0000, 0.5000, 0.0000)
Ag (0.0000, 0.0000, 0.0000)
V (0.0000, 0.0000, 0.5000)
V (0.5000, 0.0000, 0.0000)

Properties
- magnetization (μB/f.u.) = 6.94
- space-group type = P4/mmm
- calculated formation energy (eV/atom) = 1.08
- raw total energy (eV per atom) = -3.716

=====

[8]
Entry from Alexandria via LeMat-Bulk: NaYMgAg2 after structural relaxation (PBE).

Lattice parameters (Å, degrees): 5.1211 5.6221 5.1211 90.00 90.00 90.00
Element x y z (fractional)
Y (0.0000, 0.5000, 0.0000)
Na (0.5000, 0.5000, 0.5000)
Mg (0.0000, 0.0000, 0.0000)
Ag (0.0000, 0.0000, 0.5000)
Ag (0.5000, 0.0000, 0.0000)

Properties
- magnetization (μB/f.u.) = 0.00
- space-group type = P4/mmm
- calculated formation energy (eV/atom) = 0.50
- raw total energy (eV per atom) = -2.521

=====

[9]
Entry from Alexandria via LeMat-Bulk: NaYMgAg after structural relaxation (PBE).

Lattice parameters (Å, degrees): 5.1106 5.1106 5.1106 60.00 60.00 60.00
Element x y z (fractional)
Y (0.7500, 0.7500, 0.7500)
Na (0.0000, 0.0000, 0.0000)
Mg (0.2500, 0.2500, 0.2500)
Ag (0.5000, 0.5000, 0.5000)

Properties
- magnetization (μB/f.u.) = 0.38
- space-group type = F-43m
- calculated formation energy (eV/atom) = 0.00
- raw total energy (eV per atom) = -3.057

=====

[10]
Entry from Alexandria via LeMat-Bulk: Mg2NbAg2 after structural relaxation (PBE).

Lattice parameters (Å, degrees): 3.9880 3.9880 6.8499 73.08 73.08 90.00
Element x y z (fractional)
Nb (0.0000, 0.0000, 0.0000)
Mg (0.7500, 0.2500, 0.5000)
Mg (0.2500, 0.7500, 0.5000)
Ag (0.3967, 0.3967, 0.2067)
Ag (0.6033, 0.6033, 0.7933)

Properties
- magnetization (μB/f.u.) = 1.55
- space-group type = I4/mmm
- calculated formation energy (eV/atom) = 0.45
- raw total energy (eV per atom) = -3.343

=====

[11]
Entry from Alexandria via LeMat-Bulk: Mg2NbAg after structural relaxation (PBE).

Lattice parameters (Å, degrees): 4.7450 4.7450 4.7450 60.00 60.00 60.00
Element x y z (fractional)
Nb (0.0000, 0.0000, 0.0000)
Mg (0.2500, 0.2500, 0.2500)
Mg (0.7500, 0.7500, 0.7500)
Ag (0.5000, 0.5000, 0.5000)

Properties
- magnetization (μB/f.u.) = 1.78
- space-group type = Fm-3m
- calculated formation energy (eV/atom) = 0.32
- raw total energy (eV per atom) = -3.706

=====

[12]
Entry from Alexandria via LeMat-Bulk: MgNbAg2 after structural relaxation (PBE).

Lattice parameters (Å, degrees): 7.4393 7.4393 5.9989 51.68 51.68 90.00
Element x y z (fractional)
Nb (0.0000, 0.0000, 0.0000)
Nb (0.7500, 0.2500, 0.5000)
Mg (0.5000, 0.5000, 0.0000)
Mg (0.2500, 0.7500, 0.5000)
Ag (0.6152, 0.1250, 0.2500)
Ag (0.1348, 0.6250, 0.2500)
Ag (0.3750, 0.3848, 0.7500)
Ag (0.8750, 0.8652, 0.7500)

Properties
- magnetization (μB/f.u.) = 0.19
- space-group type = I-42d
- calculated formation energy (eV/atom) = 0.68
- raw total energy (eV per atom) = -3.664

=====

[13]
Entry from Alexandria via LeMat-Bulk: MgNb2Ag after structural relaxation (PBE).

Lattice parameters (Å, degrees): 7.7880 7.7880 6.0884 50.24 50.24 90.00
Element x y z (fractional)
Nb (0.6338, 0.1250, 0.2500)
Nb (0.1162, 0.6250, 0.2500)
Nb (0.3750, 0.3662, 0.7500)
Nb (0.8750, 0.8838, 0.7500)
Mg (0.5000, 0.5000, 0.0000)
Mg (0.2500, 0.7500, 0.5000)
Ag (0.0000, 0.0000, 0.0000)
Ag (0.7500, 0.2500, 0.5000)

Properties
- magnetization (μB/f.u.) = 0.00
- space-group type = I-42d
- calculated formation energy (eV/atom) = 0.66
- raw total energy (eV per atom) = -5.482

=====

[14]
Entry from Alexandria via LeMat-Bulk: Mg2NbAg after structural relaxation (PBE).

Lattice parameters (Å, degrees): 7.4836 7.4836 6.0359 51.69 51.69 90.00
Element x y z (fractional)
Nb (0.5000, 0.5000, 0.0000)
Nb (0.2500, 0.7500, 0.5000)
Mg (0.6497, 0.1250, 0.2500)
Mg (0.1003, 0.6250, 0.2500)
Mg (0.3750, 0.3503, 0.7500)
Mg (0.8750, 0.8997, 0.7500)
Ag (0.0000, 0.0000, 0.0000)
Ag (0.7500, 0.2500, 0.5000)

Properties
- magnetization (μB/f.u.) = 0.00
- space-group type = I-42d
- calculated formation energy (eV/atom) = 0.56
- raw total energy (eV per atom) = -3.465

=====

[15]
Entry from Alexandria via LeMat-Bulk: Mg3NbAg after structural relaxation (PBE).

Lattice parameters (Å, degrees): 4.9154 4.9154 4.9154 90.00 90.00 90.00
Element x y z (fractional)
Nb (0.5000, 0.5000, 0.5000)
Mg (0.0000, 0.5000, 0.0000)
Mg (0.0000, 0.0000, 0.5000)
Mg (0.5000, 0.0000, 0.0000)
Ag (0.0000, 0.0000, 0.0000)

Properties
- magnetization (μB/f.u.) = 1.85
- space-group type = Pm-3m
- calculated formation energy (eV/atom) = 0.75
- raw total energy (eV per atom) = -2.788

=====

[16]
Entry from Alexandria via LeMat-Bulk: Mg2NbAg2 after structural relaxation (PBE).

Lattice parameters (Å, degrees): 8.0182 8.0182 2.8865 90.00 90.00 90.00
Element x y z (fractional)
Nb (0.0000, 0.0000, 0.0000)
Nb (0.5000, 0.5000, 0.0000)
Mg (0.1696, 0.6696, 0.5000)
Mg (0.6696, 0.8304, 0.5000)
Mg (0.8304, 0.3304, 0.5000)
Mg (0.3304, 0.1696, 0.5000)
Ag (0.3701, 0.8701, 0.0000)
Ag (0.8701, 0.6299, 0.0000)
Ag (0.6299, 0.1299, 0.0000)
Ag (0.1299, 0.3701, 0.0000)

Properties
- magnetization (μB/f.u.) = 0.00
- space-group type = P4/mbm
- calculated formation energy (eV/atom) = 0.15
- raw total energy (eV per atom) = -3.644

=====

[17]
Entry from Alexandria via LeMat-Bulk: Mg2NbAg2 after structural relaxation (PBE).

Lattice parameters (Å, degrees): 8.0044 8.0044 2.8686 90.00 90.00 90.00
Element x y z (fractional)
Nb (0.0000, 0.0000, 0.0000)
Nb (0.5000, 0.5000, 0.0000)
Mg (0.3670, 0.8670, 0.0000)
Mg (0.8670, 0.6330, 0.0000)
Mg (0.6330, 0.1330, 0.0000)
Mg (0.1330, 0.3670, 0.0000)
Ag (0.1669, 0.6669, 0.5000)
Ag (0.6669, 0.8331, 0.5000)
Ag (0.8331, 0.3331, 0.5000)
Ag (0.3331, 0.1669, 0.5000)

Properties
- magnetization (μB/f.u.) = 0.51
- space-group type = P4/mbm
- calculated formation energy (eV/atom) = 0.17
- raw total energy (eV per atom) = -3.617

=====

[18]
Entry from Alexandria via LeMat-Bulk: Mg2NbAg after structural relaxation (PBE).

Lattice parameters (Å, degrees): 2.9403 2.9403 10.6421 82.06 82.06 60.00
Element x y z (fractional)
Nb (0.0000, 0.0000, 0.0000)
Mg (0.0914, 0.0914, 0.7258)
Mg (0.9086, 0.9086, 0.2742)
Ag (0.5000, 0.5000, 0.5000)

Properties
- magnetization (μB/f.u.) = 0.00
- space-group type = R-3m
- calculated formation energy (eV/atom) = 0.30
- raw total energy (eV per atom) = -3.730

=====

[19]
Entry from Alexandria via LeMat-Bulk: Mg3NbAg after structural relaxation (PBE).

Lattice parameters (Å, degrees): 5.4152 5.4152 5.4152 90.00 90.00 90.00
Element x y z (fractional)
Nb (0.0000, 0.0000, 0.0000)
Mg (0.0000, 0.5000, 0.0000)
Mg (0.0000, 0.0000, 0.5000)
Mg (0.5000, 0.0000, 0.0000)
Ag (0.5000, 0.5000, 0.5000)

Properties
- magnetization (μB/f.u.) = 3.56
- space-group type = Pm-3m
- calculated formation energy (eV/atom) = 1.21
- raw total energy (eV per atom) = -2.333

=====

[20]
Entry from Alexandria via LeMat-Bulk: MgNb3Ag after structural relaxation (PBE).

Lattice parameters (Å, degrees): 4.9671 4.9671 4.9671 90.00 90.00 90.00
Element x y z (fractional)
Nb (0.0000, 0.5000, 0.0000)
Nb (0.0000, 0.0000, 0.5000)
Nb (0.5000, 0.0000, 0.0000)
Mg (0.5000, 0.5000, 0.5000)
Ag (0.0000, 0.0000, 0.0000)

Properties
- magnetization (μB/f.u.) = 0.59
- space-group type = Pm-3m
- calculated formation energy (eV/atom) = 1.66
- raw total energy (eV per atom) = -5.276

=====

[21]
Entry from Alexandria via LeMat-Bulk: MgNb2AgPt after structural relaxation (PBE).

Lattice parameters (Å, degrees): 4.9250 4.6135 4.9250 90.00 90.00 90.00
Element x y z (fractional)
Mg (0.0000, 0.5000, 0.0000)
Nb (0.0000, 0.0000, 0.5000)
Nb (0.5000, 0.0000, 0.0000)
Ag (0.0000, 0.0000, 0.0000)
Pt (0.5000, 0.5000, 0.5000)

Properties
- magnetization (μB/f.u.) = 0.00
- space-group type = P4/mmm
- calculated formation energy (eV/atom) = 1.35
- raw total energy (eV per atom) = -4.775

=====

[22]
Entry from Alexandria via LeMat-Bulk: MgNbAgPt after structural relaxation (PBE).

Lattice parameters (Å, degrees): 4.6033 4.6033 4.6033 60.00 60.00 60.00
Element x y z (fractional)
Mg (0.7500, 0.7500, 0.7500)
Nb (0.2500, 0.2500, 0.2500)
Ag (0.5000, 0.5000, 0.5000)
Pt (0.0000, 0.0000, 0.0000)

Properties
- magnetization (μB/f.u.) = 0.00
- space-group type = F-43m
- calculated formation energy (eV/atom) = -0.27
- raw total energy (eV per atom) = -5.408

=====

[23]
Entry from Alexandria via LeMat-Bulk: MgNbAgRh2 after structural relaxation (PBE).

Lattice parameters (Å, degrees): 4.5140 4.5093 4.5140 90.00 90.00 90.00
Element x y z (fractional)
Nb (0.5000, 0.5000, 0.5000)
Rh (0.0000, 0.0000, 0.5000)
Rh (0.5000, 0.0000, 0.0000)
Mg (0.0000, 0.0000, 0.0000)
Ag (0.0000, 0.5000, 0.0000)

Properties
- magnetization (μB/f.u.) = 1.87
- space-group type = P4/mmm
- calculated formation energy (eV/atom) = 0.95
- raw total energy (eV per atom) = -4.897

=====

[24]
Entry from Alexandria via LeMat-Bulk: Mg2NbAgRu after structural relaxation (PBE).

Lattice parameters (Å, degrees): 4.5883 5.0432 4.5883 90.00 90.00 90.00
Element x y z (fractional)
Ru (0.0000, 0.5000, 0.0000)
Nb (0.5000, 0.5000, 0.5000)
Mg (0.0000, 0.0000, 0.5000)
Mg (0.5000, 0.0000, 0.0000)
Ag (0.0000, 0.0000, 0.0000)

Properties
- magnetization (μB/f.u.) = 0.00
- space-group type = P4/mmm
- calculated formation energy (eV/atom) = 1.20
- raw total energy (eV per atom) = -3.878

=====

[25]
Entry from Alexandria via LeMat-Bulk: MgNb2AgS after structural relaxation (PBE).

Lattice parameters (Å, degrees): 5.0733 4.8152 5.0733 90.00 90.00 90.00
Element x y z (fractional)
Mg (0.0000, 0.5000, 0.0000)
Nb (0.0000, 0.0000, 0.5000)
Nb (0.5000, 0.0000, 0.0000)
S (0.5000, 0.5000, 0.5000)
Ag (0.0000, 0.0000, 0.0000)

Properties
- magnetization (μB/f.u.) = 3.46
- space-group type = P4/mmm
- raw total energy (eV per atom) = -4.379

=====

[26]
Entry from Alexandria via LeMat-Bulk: MgNb2AgSb after structural relaxation (PBE).

Lattice parameters (Å, degrees): 4.8528 4.9681 4.8528 90.00 90.00 90.00
Element x y z (fractional)
Sb (0.0000, 0.5000, 0.0000)
Nb (0.0000, 0.0000, 0.5000)
Nb (0.5000, 0.0000, 0.0000)
Mg (0.0000, 0.0000, 0.0000)
Ag (0.5000, 0.5000, 0.5000)

Properties
- magnetization (μB/f.u.) = 0.00
- space-group type = P4/mmm
- raw total energy (eV per atom) = -4.190

=====

[27]
Entry from Alexandria via LeMat-Bulk: MgNb2VAg after structural relaxation (PBE).

Lattice parameters (Å, degrees): 4.7696 4.4972 4.7696 90.00 90.00 90.00
Element x y z (fractional)
Nb (0.0000, 0.0000, 0.5000)
Nb (0.5000, 0.0000, 0.0000)
Mg (0.0000, 0.0000, 0.0000)
Ag (0.5000, 0.5000, 0.5000)
V (0.0000, 0.5000, 0.0000)

Properties
- magnetization (μB/f.u.) = 0.00
- space-group type = P4/mmm
- calculated formation energy (eV/atom) = 1.78
- raw total energy (eV per atom) = -4.961

=====

[28]
Entry from Alexandria via LeMat-Bulk: MgZrNb2Ag after structural relaxation (PBE).

Lattice parameters (Å, degrees): 5.0305 4.6525 5.0305 90.00 90.00 90.00
Element x y z (fractional)
Mg (0.0000, 0.5000, 0.0000)
Nb (0.0000, 0.0000, 0.5000)
Nb (0.5000, 0.0000, 0.0000)
Zr (0.5000, 0.5000, 0.5000)
Ag (0.0000, 0.0000, 0.0000)

Properties
- magnetization (μB/f.u.) = 0.00
- space-group type = P4/mmm
- calculated formation energy (eV/atom) = 1.20
- raw total energy (eV per atom) = -5.423